Material: SmLu2Mg
Method: DFT, PBE
State: relaxed

a b c (Å): 3.488 3.488 33.250
angles (deg): 90.00 90.00 120.00
Positions (direct):
Sm 0.000 0.000 0.000
Sm 0.333 0.667 0.667
Sm 0.667 0.333 0.333
Lu 0.000 0.000 0.246
Lu 0.000 0.000 0.754
Lu 0.333 0.667 0.420
Lu 0.333 0.667 0.913
Lu 0.667 0.333 0.087
Lu 0.667 0.333 0.580
Mg 0.000 0.000 0.500
Mg 0.333 0.667 0.167
Mg 0.667 0.333 0.833

Summary:
V = 29.19 Å³/atom
total energy = -3.82 eV/atom
relative energy among the computed polymorphs = 39 meV per atom
space group = R-3m, No. 166


Material: Ca2AcCd2Ge2
Method: DFT, PBE
State: relaxed

a b c (Å): 9.379 9.379 9.379
angles (deg): 30.19 30.19 30.19
Positions (direct):
Ca 0.137 0.137 0.137
Ca 0.863 0.863 0.863
Ac 0.000 0.000 0.000
Cd 0.427 0.427 0.427
Cd 0.573 0.573 0.573
Ge 0.259 0.259 0.259
Ge 0.741 0.741 0.741

Summary:
V = 26.41 Å³/atom
total energy = -3.12 eV/atom
space group = R-3m, No. 166


Material: Hf2VIn
Method: DFT, PBE
State: relaxed

a b c (Å): 3.186 3.186 28.262
angles (deg): 90.00 90.00 120.00
Positions (direct):
Hf 0.000 0.000 0.242
Hf 0.000 0.000 0.758
Hf 0.333 0.667 0.425
Hf 0.333 0.667 0.908
Hf 0.667 0.333 0.092
Hf 0.667 0.333 0.575
V 0.000 0.000 0.500
V 0.333 0.667 0.167
V 0.667 0.333 0.833
In 0.000 0.000 0.000
In 0.333 0.667 0.667
In 0.667 0.333 0.333

Summary:
V = 20.70 Å³/atom
total energy = -7.83 eV/atom
space group = R-3m, No. 166


Material: KSiS3
Method: DFT, PBE
State: relaxed

a b c (Å): 4.681 4.681 4.681
angles (deg): 90.00 90.00 90.00
Positions (direct):
K 0.000 0.000 0.000
Si 0.500 0.500 0.500
S 0.000 0.500 0.500
S 0.500 0.000 0.500
S 0.500 0.500 0.000

Summary:
formation energy without anion corrections = -0.300 eV per atom
V = 20.52 Å³/atom
total energy = -4.08 eV/atom
space group = Pm-3m, No. 221